Record 1
The following is a DFT calculation (PBE) of Sr2LiIn12Pt3 after structural relaxation.

Properties
- magnetization (μB per cell) = 0.00
- space group = R-3m
- formation enthalpy at 0 K (eV per atom) = -0.16

The structure in POSCAR format:
```
Sr2LiIn12Pt3
1.0
-1.016 1.599 -8.374
-2.091 -7.293 -4.017
-8.385 0.113 -1.840
Sr Li In Pt
2 1 12 3
direct
0.598 0.598 0.598
0.402 0.402 0.402
0.000 0.000 0.000
0.287 0.287 0.870
0.857 0.857 0.366
0.366 0.857 0.857
0.870 0.287 0.287
0.857 0.366 0.857
0.287 0.870 0.287
0.713 0.713 0.130
0.143 0.143 0.634
0.634 0.143 0.143
0.130 0.713 0.713
0.143 0.634 0.143
0.713 0.130 0.713
0.500 0.000 0.000
0.000 0.500 0.000
0.000 0.000 0.500
```

=====

Record 2
The following is a DFT calculation (PBE) of Sr2LiInPt after structural relaxation.

Properties
- magnetization (μB per cell) = 0.00
- polymorph energy (0 for the lowest one) (eV per atom) = 0.006
- space group = P4/mmm
- formation enthalpy at 0 K (eV per atom) = -0.39

The structure in POSCAR format:
```
Sr2LiInPt
1.0
-1.718 3.993 3.978
-3.826 -3.880 2.243
3.667 -1.709 3.299
Sr Li Pt In
2 1 1 1
direct
0.000 0.500 0.000
0.500 0.000 0.000
0.500 0.500 0.500
0.000 0.000 0.000
0.000 0.000 0.500
```

=====

Record 3
The following is a DFT calculation (PBE) of SrLiIn2Pt after structural relaxation.

Properties
- magnetization (μB per cell) = 0.00
- space group = P4/mmm
- formation enthalpy at 0 K (eV per atom) = -0.40

The structure in POSCAR format:
```
SrLiIn2Pt
1.0
5.200 0.000 0.000
0.000 5.200 0.000
0.000 0.000 5.018
Sr Li Pt In
1 1 1 2
direct
0.500 0.500 0.500
0.000 0.000 0.500
0.000 0.000 0.000
0.000 0.500 0.000
0.500 0.000 0.000
```

=====

Record 4
The following is a DFT calculation (PBE) of LiThInPt after structural relaxation.

Properties
- magnetization (μB per cell) = 0.00
- space group = F-43m
- formation enthalpy at 0 K (eV per atom) = -0.72

The structure in POSCAR format:
```
LiThInPt
1.0
4.904 0.000 0.000
2.452 4.247 0.000
2.452 1.416 4.004
Li Pt Th In
1 1 1 1
direct
0.250 0.250 0.250
0.750 0.750 0.750
0.500 0.500 0.500
0.000 0.000 0.000
```

=====

Record 5
The following is a DFT calculation (PBE) of LiTlIn2Pt after structural relaxation.

Properties
- magnetization (μB per cell) = 0.00
- space group = P4/mmm
- formation enthalpy at 0 K (eV per atom) = -0.24

The structure in POSCAR format:
```
LiTlIn2Pt
1.0
-2.754 -4.004 1.785
4.362 -2.289 1.593
-0.426 2.263 4.418
Tl Li Pt In
1 1 1 2
direct
0.500 0.500 0.500
0.000 0.000 0.500
0.000 0.000 0.000
0.000 0.500 0.000
0.500 0.000 0.000
```

=====

Record 6
The following is a DFT calculation (PBE) of LiTlInPt after structural relaxation.

Properties
- magnetization (μB per cell) = 0.00
- space group = F-43m
- formation enthalpy at 0 K (eV per atom) = -0.34

The structure in POSCAR format:
```
LiTlInPt
1.0
4.760 0.000 0.000
2.380 4.122 0.000
2.380 1.374 3.887
Tl Li Pt In
1 1 1 1
direct
0.000 0.000 0.000
0.750 0.750 0.750
0.250 0.250 0.250
0.500 0.500 0.500
```

=====

Record 7
The following is a DFT calculation (PBE) of LiTmInPt after structural relaxation.

Properties
- magnetization (μB per cell) = 0.00
- space group = F-43m
- formation enthalpy at 0 K (eV per atom) = -0.79

The structure in POSCAR format:
```
LiTmInPt
1.0
-2.233 4.147 0.653
-1.074 1.455 4.398
2.326 3.675 1.923
Tm Li Pt In
1 1 1 1
direct
0.000 0.000 0.000
0.250 0.250 0.250
0.750 0.750 0.750
0.500 0.500 0.500
```

=====

Record 8
The following is a DFT calculation (PBE) of LiZn2In2Pt5 after structural relaxation.

Properties
- magnetization (μB per cell) = 0.00
- space group = P4/mbm
- formation enthalpy at 0 K (eV per atom) = -0.39

The structure in POSCAR format:
```
LiZn2In2Pt5
1.0
3.848 0.000 0.000
0.000 9.286 0.000
0.000 0.000 9.286
Li Zn In Pt
2 4 4 10
direct
0.000 0.000 0.000
0.000 0.500 0.500
0.000 0.127 0.627
0.000 0.873 0.373
0.000 0.627 0.873
0.000 0.373 0.127
0.000 0.671 0.171
0.000 0.329 0.829
0.000 0.171 0.329
0.000 0.829 0.671
0.500 0.192 0.083
0.500 0.808 0.917
0.500 0.083 0.808
0.500 0.692 0.417
0.500 0.917 0.192
0.500 0.308 0.583
0.500 0.583 0.692
0.500 0.417 0.308
0.500 0.500 0.000
0.500 0.000 0.500
```

=====

Record 9
The following is a DFT calculation (PBE) of Li2PuIn3 after structural relaxation.

Properties
- magnetization (μB per cell) = 5.71
- space group = P4/mmm
- formation enthalpy at 0 K (eV per atom) = -0.24

The structure in POSCAR format:
```
Li2PuIn3
1.0
-2.082 0.243 2.444
0.899 -2.906 1.055
8.872 5.298 7.029
Li Pu In
2 1 3
direct
0.500 0.500 0.851
0.500 0.500 0.149
0.500 0.500 0.500
0.000 0.000 0.000
0.000 0.000 0.697
0.000 0.000 0.303
```

=====

Record 10
The following is a DFT calculation (PBE) of LiPu2In9 after structural relaxation.

Properties
- magnetization (μB per cell) = 11.29
- space group = P4/mmm
- formation enthalpy at 0 K (eV per atom) = -0.18

The structure in POSCAR format:
```
LiPu2In9
1.0
4.629 0.000 0.000
0.000 4.629 0.000
0.000 0.000 13.836
Li Pu In
1 2 9
direct
0.000 0.000 0.000
0.000 0.000 0.328
0.000 0.000 0.672
0.500 0.500 0.000
0.500 0.500 0.335
0.500 0.500 0.665
0.500 0.000 0.159
0.500 0.000 0.500
0.500 0.000 0.841
0.000 0.500 0.159
0.000 0.500 0.500
0.000 0.500 0.841
```

=====

Record 11
The following is a DFT calculation (PBE) of Li2PuIn2 after structural relaxation.

Properties
- magnetization (μB per cell) = 5.92
- space group = I4/mmm
- formation enthalpy at 0 K (eV per atom) = -0.08

The structure in POSCAR format:
```
Li2PuIn2
1.0
4.027 0.000 -0.663
-0.109 4.026 -0.663
-0.816 -0.839 7.599
Li Pu In
2 1 2
direct
0.750 0.250 0.500
0.250 0.750 0.500
0.000 0.000 0.000
0.611 0.611 0.221
0.389 0.389 0.779
```

=====

Record 12
The following is a DFT calculation (PBE) of LiPu2In8 after structural relaxation.

Properties
- magnetization (μB per cell) = 11.51
- space group = P4/mmm
- formation enthalpy at 0 K (eV per atom) = -0.20

The structure in POSCAR format:
```
LiPu2In8
1.0
-0.554 4.512 -1.304
0.184 -1.292 -4.545
-12.091 -1.502 -0.062
Li Pu In
1 2 8
direct
0.000 0.000 0.000
0.000 0.000 0.313
0.000 0.000 0.687
0.000 0.500 0.500
0.500 0.000 0.500
0.500 0.500 0.310
0.500 0.500 0.690
0.000 0.500 0.127
0.500 0.000 0.127
0.000 0.500 0.873
0.500 0.000 0.873
```

=====

Look up the magnetization of the fourth one.
0.00 μB per cell

=====

The highest magnetization belongs to which entry?
LiPu2In8

=====

Look up the magnetization of the sixth one.
0.00 μB per cell

=====

Among the records above, which one has the highest magnetization?
LiPu2In8